Computed, not measured: an optimized crystal structure of KZr6BI14 at the GGA-PBE level of DFT.

The space group is Cmce (No. 64) and the conventional cell measures 16.1576, 15.2694 and 12.9633 Å, with angles of 90.00, 90.00 and 90.00 degrees. The asymmetric unit holds K at (0.0000, 0.0000, 0.0000), Zr at (0.0000, 0.1286, 0.4030), Zr at (0.1059, 0.0605, 0.6106), B at (0.0000, 0.0000, 0.5000), I at (0.0000, 0.1473, 0.7660), I at (0.1230, 0.0878, 0.2478), I at (0.1244, 0.2300, 0.5090), I at (0.2503, 0.0000, 0.0000) and I at (0.2500, 0.1434, 0.7500).

The calculation puts the uncorrected formation energy at -1.019 eV per atom. The total moment is 0.0 μB per formula unit.